(1)
Below is a relaxed structure of AsSeBr2O, with properties calculated at the GGA-PBE level.

POSCAR file:
```
AsSeBr2O
1.0
-5.0836 0.6806 1.0566
0.2143 -3.8687 3.5227
1.2843 3.5912 3.8658
O As Se Br
1 1 1 2
direct
0.5000 0.5000 0.5000
0.0000 0.0000 0.5000
0.0000 0.0000 0.0000
0.0000 0.5000 0.0000
0.5000 0.0000 0.0000
```

Computed properties:
Magnetization (μB/f.u.): 0.09
SG: No. 123
E_form (uncorrected) (eV per formula unit): 4.6
Calculated total energy (eV/atom): -2.37



(2)
Below is a relaxed structure of Tc2Ir2Ru, with properties calculated at the GGA-PBE level.

POSCAR file:
```
Tc2Ir2Ru
1.0
7.4753 0.0000 0.0000
0.0000 7.4753 0.0000
0.0000 0.0000 2.7351
Ru Ir Tc
2 4 4
direct
0.0000 0.0000 0.0000
0.5000 0.5000 0.0000
0.1717 0.6717 0.5000
0.6717 0.8283 0.5000
0.8283 0.3283 0.5000
0.3283 0.1717 0.5000
0.3777 0.8777 0.0000
0.8777 0.6223 0.0000
0.6223 0.1223 0.0000
0.1223 0.3777 0.0000
```

Computed properties:
Magnetization (μB/f.u.): 0.84
SG: No. 127
Formation enthalpy at 0 K (kJ/mol of formula units): 117
Calculated total energy (eV/atom): -9.30



(3)
Below is a relaxed structure of CePuS3, with properties calculated at the GGA-PBE level.

POSCAR file:
```
CePuS3
1.0
3.9992 0.0000 0.0000
0.0000 7.3777 0.0000
0.0000 0.0000 15.1390
Ce Pu S
4 4 12
direct
0.7500 0.8680 0.7934
0.2500 0.1320 0.2066
0.7500 0.3680 0.7066
0.2500 0.6320 0.2934
0.2500 0.2655 0.9601
0.2500 0.7655 0.5399
0.7500 0.2345 0.4601
0.7500 0.7345 0.0399
0.2500 0.3719 0.5673
0.7500 0.8467 0.2185
0.7500 0.4897 0.8933
0.7500 0.9897 0.6067
0.7500 0.6281 0.4327
0.2500 0.0103 0.3933
0.2500 0.8719 0.9327
0.7500 0.3467 0.2815
0.2500 0.6533 0.7185
0.2500 0.1533 0.7815
0.7500 0.1281 0.0673
0.2500 0.5103 0.1067
```

Computed properties:
Magnetization (μB/f.u.): 5.97
SG: No. 62
E_form (uncorrected) (eV per formula unit): -9.4
Calculated total energy (eV/atom): -8.41



no.,offset from the most stable computed form (meV per atom)
1,249
2,76
3,0